VASP calculation (PBE-GGA) on a relaxed Sr3Ho2PuN6 crystal.

```
Sr3Ho2PuN6
1.0
3.0518 -5.2880 0.0000
3.0518 5.2880 0.0000
-2.0382 0.0000 5.9882
Sr Ho Pu N
3 2 1 6
Direct
0.0000 0.0000 0.0000
0.3321 0.6679 0.0000
0.6679 0.3321 0.0000
0.1668 0.8332 0.5000
0.8332 0.1668 0.5000
0.5000 0.5000 0.5000
0.1231 0.4320 0.2956
0.2612 0.2612 0.7020
0.4320 0.1231 0.2956
0.5680 0.8769 0.7044
0.7388 0.7388 0.2980
0.8769 0.5680 0.7044
```

Computed properties:
Energy relative to the elements, uncorrected ... -1149 meV per atom
D(E_F) ... 6.49 states/eV per cell
Symmetry ... C2/m, No. 12

***

VASP calculation (PBE-GGA) on a relaxed Pm2NbSi3Ir4 crystal.

```
Pm2NbSi3Ir4
1.0
4.1524 0.0000 0.0000
0.0000 4.1524 0.0000
0.0000 0.0000 10.4360
Pm Nb Si Ir
2 1 3 4
Direct
0.0000 0.5000 0.2404
0.5000 0.0000 0.7596
0.0000 0.0000 0.5000
0.0000 0.5000 0.8754
0.5000 0.0000 0.1246
0.5000 0.5000 0.5000
0.0000 0.0000 0.0000
0.0000 0.5000 0.6430
0.5000 0.0000 0.3570
0.5000 0.5000 0.0000
```

Computed properties:
Energy relative to the elements, uncorrected ... -945 meV per atom
D(E_F) ... 6.33 states/eV per cell
Symmetry ... P-4m2, No. 115

***

VASP calculation (PBE-GGA) on a relaxed RbGaSi2Pt crystal.

```
RbGaSi2Pt
1.0
5.6114 0.0000 0.0000
0.0000 5.6114 0.0000
0.0000 0.0000 5.2388
Rb Ga Si Pt
1 1 2 1
Direct
0.0000 0.0000 0.0000
0.5000 0.5000 0.5000
0.0000 0.5000 0.0000
0.5000 0.0000 0.0000
0.0000 0.0000 0.5000
```

Computed properties:
Energy relative to the elements, uncorrected ... 2110 meV per atom
D(E_F) ... 7.19 states/eV per cell
Symmetry ... P4/mmm, No. 123

***

VASP calculation (PBE-GGA) on a relaxed PuBiOs crystal.

```
PuBiOs
1.0
0.0000 4.4598 5.1388
3.1423 0.0000 5.1388
3.1423 4.4598 0.0000
Pu Bi Os
2 2 2
Direct
0.1881 0.1881 0.8119
0.8119 0.8119 0.1881
0.3127 0.6873 0.3127
0.6873 0.3127 0.6873
0.2500 0.2500 0.2500
0.7500 0.7500 0.7500
```

Computed properties:
D(E_F) ... 14.69 states/eV per cell
Calculated formation energy ... 0.7 eV per formula unit
Symmetry ... Fmmm, No. 69

***

VASP calculation (PBE-GGA) on a relaxed CsPuSiO6 crystal.

```
CsPuSiO6
1.0
5.1324 0.0000 0.0000
-2.5662 4.4448 0.0000
0.0000 0.0000 6.8682
Cs Pu Si O
1 1 1 6
Direct
0.0000 0.0000 0.0000
0.3333 0.6667 0.5000
0.6667 0.3333 0.5000
0.3900 0.0309 0.6518
0.3900 0.3591 0.3482
0.6409 0.0309 0.3482
0.6409 0.6100 0.6518
0.9691 0.3591 0.6518
0.9691 0.6100 0.3482
```

Computed properties:
Energy relative to the elements, uncorrected ... -2221 meV per atom
D(E_F) ... 0.00 states/eV per cell
Symmetry ... P312, No. 149

***

VASP calculation (PBE-GGA) on a relaxed CrIrOs2 crystal.

```
CrIrOs2
1.0
3.8115 0.0000 0.0000
0.0000 3.8115 0.0000
0.0000 0.0000 7.6209
Cr Ir Os
2 2 4
Direct
0.0000 0.0000 0.0000
0.5000 0.5000 0.5000
0.0000 0.0000 0.5000
0.5000 0.5000 0.0000
0.0000 0.5000 0.2500
0.0000 0.5000 0.7500
0.5000 0.0000 0.2500
0.5000 0.0000 0.7500
```

Computed properties:
ΔE to the lowest computed polymorph ... 30 meV/atom
D(E_F) ... 7.84 states/eV per cell
Calculated formation energy ... 0.0 eV per formula unit
Symmetry ... I4/mmm, No. 139

***

> Among the records above, which one has the highest D(E_F)?

PuBiOs

***

What did the fourth record say?
VASP calculation (PBE-GGA) on a relaxed PuBiOs crystal.

```
PuBiOs
1.0
0.0000 4.4598 5.1388
3.1423 0.0000 5.1388
3.1423 4.4598 0.0000
Pu Bi Os
2 2 2
Direct
0.1881 0.1881 0.8119
0.8119 0.8119 0.1881
0.3127 0.6873 0.3127
0.6873 0.3127 0.6873
0.2500 0.2500 0.2500
0.7500 0.7500 0.7500
```

Computed properties:
D(E_F) ... 14.69 states/eV per cell
Calculated formation energy ... 0.7 eV per formula unit
Symmetry ... Fmmm, No. 69

***

> Look up the D(E_F) of the fourth one.

14.69 states/eV per cell

***

> Look up the D(E_F) of the first one.

6.49 states/eV per cell